No. 1
Pr2Ge3Pt4Au (PBE, optimized geometry); total moment = 0.000 μB/atom; calculated formation energy = -0.832 eV per atom
1.0
-0.750 -3.056 3.078
-0.859 -2.957 -3.145
10.018 -2.678 -0.217
Pr Ge Pt Au
2 3 4 1
direct
0.500 0.000 0.255
0.000 0.500 0.745
0.000 0.000 0.500
0.500 0.000 0.877
0.000 0.500 0.123
0.500 0.500 0.000
0.000 0.000 0.000
0.500 0.000 0.645
0.000 0.500 0.355
0.500 0.500 0.500


No. 2
InCu2Au4 (PBE, optimized geometry); offset from the most stable computed form = 0 meV per atom; total moment = 0.000 μB/atom; calculated formation energy = 0.005 eV per atom
1.0
8.962 0.000 0.000
0.000 5.132 -2.375
0.000 -0.496 5.662
Au Cu In
8 4 2
direct
0.834 0.502 0.000
0.750 0.500 0.500
0.750 0.000 0.500
0.666 0.002 0.000
0.334 0.998 0.000
0.250 0.000 0.500
0.250 0.500 0.500
0.166 0.498 0.000
0.000 0.726 0.452
0.000 0.274 0.548
0.500 0.774 0.548
0.500 0.226 0.452
0.000 0.000 0.000
0.500 0.500 0.000


No. 3
CsSrLi2La (PBE, optimized geometry); total moment = 0.000 μB/atom; calculated formation energy = 0.732 eV per atom
1.0
5.703 0.000 0.000
0.000 6.155 0.000
0.000 0.000 5.703
Cs Sr Li La
1 1 2 1
direct
0.000 0.000 0.000
0.500 0.500 0.500
0.000 0.000 0.500
0.500 0.000 0.000
0.000 0.500 0.000


No. 4
La2Be2Ru (PBE, optimized geometry); offset from the most stable computed form = 0 meV per atom; total moment = 0.000 μB/atom; calculated formation energy = 0.244 eV per atom
1.0
3.291 0.000 0.000
0.000 3.291 0.000
1.646 1.646 9.515
Ru Be La
1 2 2
direct
0.000 0.000 0.000
0.750 0.250 0.500
0.250 0.750 0.500
0.402 0.402 0.196
0.598 0.598 0.804